No. 1
Computed, not measured: crystalline Ti3ZnN at its relaxed geometry at the PBE level of DFT.

**Calculated total energy**: -0.2738 hartree per atom
**DOS(E_F)**: 15.25 states/eV per cell

The structure in extended XYZ format:
```
20
Lattice="4.707 -5.867 0.000 4.707 5.867 0.000 -0.093 0.000 5.105" Properties=species:S:1:pos:R:3 pbc="T T T"
Ti 1.110 0.805 0.459
Ti 3.462 3.634 2.103
Ti 1.064 -0.805 3.011
Ti 3.446 2.156 4.775
Ti 5.905 3.634 0.449
Ti 5.828 2.156 2.882
Ti 3.493 -2.156 2.223
Ti 3.416 -3.634 4.655
Ti 5.874 -2.156 0.329
Ti 8.257 0.805 2.094
Ti 5.858 -3.634 3.001
Ti 8.211 -0.805 4.646
Zn 3.389 0.692 2.221
Zn 3.343 -0.692 4.773
Zn 5.977 0.692 0.331
Zn 5.931 -0.692 2.884
N 4.683 5.103 1.276
N 4.637 3.543 3.828
N 4.683 -3.543 1.276
N 4.637 -5.103 3.828
```

No. 2
Computed, not measured: crystalline BaCaB6C6 at its relaxed geometry at the PBE level of DFT.

**DOS(E_F)**: 3.37 states/eV per cell
**Calculated formation energy**: 0.195 eV/atom

The structure in extended XYZ format:
```
14
Lattice="4.923 0.000 0.000 0.000 4.923 0.000 0.000 0.000 4.923" Properties=species:S:1:pos:R:3 pbc="T T T"
Ba 0.000 0.000 0.000
Ca 2.462 2.462 2.462
B 0.000 2.462 1.258
B 0.000 2.462 3.665
B 1.258 0.000 2.462
B 2.462 1.258 0.000
B 2.462 3.665 0.000
B 3.665 0.000 2.462
C 0.000 1.259 2.462
C 0.000 3.665 2.462
C 1.259 2.462 0.000
C 2.462 0.000 1.259
C 2.462 0.000 3.665
C 3.665 2.462 0.000
```

No. 3
Computed, not measured: crystalline PmPr6Sm6 at its relaxed geometry at the PBE level of DFT.

**DOS(E_F)**: 25.44 states/eV per cell
**Calculated formation energy**: 0.269 eV/atom

The structure in extended XYZ format:
```
13
Lattice="6.809 0.000 0.000 -3.404 5.896 0.000 0.000 0.000 11.635" Properties=species:S:1:pos:R:3 pbc="T T T"
Pm 0.000 0.000 0.000
Pr -1.702 2.948 2.894
Pr -1.702 2.948 8.741
Pr 3.404 0.000 2.894
Pr 3.404 0.000 8.741
Pr 1.702 2.948 2.894
Pr 1.702 2.948 8.741
Sm 0.000 0.000 4.126
Sm 0.000 0.000 7.508
Sm 0.000 3.931 0.000
Sm 0.000 3.931 5.817
Sm 3.404 1.965 0.000
Sm 3.404 1.965 5.817
```

No. 4
Computed, not measured: crystalline Ca2ScIn at its relaxed geometry at the PBE level of DFT.

**DOS(E_F)**: 4.83 states/eV per cell
**Calculated formation energy**: -0.091 eV/atom

The structure in extended XYZ format:
```
4
Lattice="3.522 0.000 0.000 0.000 3.522 0.000 0.000 0.000 9.773" Properties=species:S:1:pos:R:3 pbc="T T T"
Ca 0.000 0.000 2.233
Ca 0.000 0.000 7.540
Sc 1.761 1.761 4.887
In 1.761 1.761 0.000
```

No. 5
Computed, not measured: crystalline Ba2LiHgPd at its relaxed geometry at the PBE level of DFT.

**DOS(E_F)**: 3.82 states/eV per cell
**Calculated formation energy**: -0.325 eV/atom

The structure in extended XYZ format:
```
5
Lattice="6.146 0.000 0.000 0.000 6.146 0.000 0.000 0.000 4.899" Properties=species:S:1:pos:R:3 pbc="T T T"
Ba 0.000 3.073 0.000
Ba 3.073 0.000 0.000
Li 0.000 0.000 2.450
Hg 3.073 3.073 2.450
Pd 0.000 0.000 0.000
```

No. 6
Computed, not measured: crystalline RbSbI2O at its relaxed geometry at the PBE level of DFT.

**Calculated total energy**: -0.1298 hartree per atom
**DOS(E_F)**: 0.58 states/eV per cell

The structure in extended XYZ format:
```
5
Lattice="6.368 0.000 0.000 0.000 6.368 0.000 0.000 0.000 4.199" Properties=species:S:1:pos:R:3 pbc="T T T"
Rb 0.000 0.000 0.000
Sb 3.184 3.184 2.099
I 0.000 3.184 2.099
I 3.184 0.000 2.099
O 3.184 3.184 0.000
```

No. 7
Computed, not measured: crystalline CuHgCl2 at its relaxed geometry at the PBE level of DFT.

**Calculated total energy**: -0.0876 hartree per atom
**DOS(E_F)**: 1.86 states/eV per cell

The structure in extended XYZ format:
```
4
Lattice="1.645 -3.688 0.000 1.645 3.688 0.000 0.000 0.000 9.811" Properties=species:S:1:pos:R:3 pbc="T T T"
Cu 0.000 0.000 0.000
Hg 0.000 0.000 4.906
Cl 1.645 0.000 1.576
Cl 1.645 0.000 8.236
```

No. 8
Computed, not measured: crystalline Sr6Tl2Cd at its relaxed geometry at the PBE level of DFT.

**DOS(E_F)**: 7.32 states/eV per cell
**Calculated formation energy**: -0.235 eV/atom

The structure in extended XYZ format:
```
9
Lattice="6.026 0.000 0.000 -3.013 5.218 0.000 0.000 0.000 11.238" Properties=species:S:1:pos:R:3 pbc="T T T"
Sr 0.000 0.000 2.342
Sr 0.000 0.000 8.896
Sr 0.000 3.479 0.602
Sr 0.000 3.479 4.661
Sr 3.013 1.739 6.577
Sr 3.013 1.739 10.637
Tl 0.000 3.479 8.337
Tl 3.013 1.739 2.901
Cd 0.000 0.000 5.619
```

No. 9
Computed, not measured: crystalline NaPa6S12 at its relaxed geometry at the PBE level of DFT.

**Calculated total energy**: -0.2651 hartree per atom
**DOS(E_F)**: 27.43 states/eV per cell

The structure in extended XYZ format:
```
19
Lattice="6.125 3.536 3.606 -6.125 3.536 3.606 0.000 -7.073 3.606" Properties=species:S:1:pos:R:3 pbc="T T T"
Na 0.000 0.000 0.000
Pa -2.952 0.545 3.777
Pa 1.004 -2.829 3.777
Pa -1.948 -2.284 7.042
Pa 1.948 2.284 3.777
Pa -1.004 2.829 7.042
Pa 2.952 -0.545 7.042
S -5.344 1.194 4.742
S -3.706 -4.031 6.077
S -1.546 -1.887 4.232
S 1.638 -5.225 4.742
S -0.862 2.283 4.232
S -2.408 0.395 6.587
S 2.408 -0.395 4.232
S 0.862 -2.283 6.587
S -1.638 5.225 6.077
S 1.546 1.887 6.587
S 3.706 4.031 4.742
S 5.344 -1.194 6.077
```

No. 10
Computed, not measured: crystalline Zn2CoBTe at its relaxed geometry at the PBE level of DFT.

**Calculated total energy**: -0.1206 hartree per atom
**DOS(E_F)**: 2.37 states/eV per cell

The structure in extended XYZ format:
```
5
Lattice="3.969 0.000 0.000 0.000 3.969 0.000 0.000 0.000 5.740" Properties=species:S:1:pos:R:3 pbc="T T T"
Zn 0.000 1.984 0.000
Zn 1.984 0.000 0.000
Co 0.000 0.000 2.870
B 1.984 1.984 0.000
Te 1.984 1.984 2.870
```

No. 11
Computed, not measured: crystalline Mg8Al2P at its relaxed geometry at the PBE level of DFT.

**DOS(E_F)**: 4.40 states/eV per cell
**Calculated formation energy**: 0.034 eV/atom

The structure in extended XYZ format:
```
11
Lattice="4.752 0.000 0.000 -2.318 5.123 0.000 -1.530 -1.762 10.141" Properties=species:S:1:pos:R:3 pbc="T T T"
Mg 0.000 0.000 0.000
Mg -1.506 -0.283 7.243
Mg -2.213 3.858 3.518
Mg 0.158 1.785 2.427
Mg -1.547 2.979 7.817
Mg 0.196 2.461 5.387
Mg 0.849 1.119 8.320
Mg 2.568 0.857 4.328
Al -1.517 1.181 9.962
Al 0.107 4.772 1.797
P 0.896 -0.243 6.025
```

No. 12
Computed, not measured: crystalline PmRhI at its relaxed geometry at the PBE level of DFT.

**Calculated total energy**: -0.2052 hartree per atom
**DOS(E_F)**: 1.24 states/eV per cell

The structure in extended XYZ format:
```
6
Lattice="2.177 1.257 11.663 -2.177 1.257 11.663 0.000 -2.514 11.663" Properties=species:S:1:pos:R:3 pbc="T T T"
Pm 0.000 0.000 1.830
Pm 0.000 0.000 33.158
Rh 0.000 0.000 11.693
Rh 0.000 0.000 23.294
I 0.000 0.000 7.737
I 0.000 0.000 27.251
```

No. 13
Computed, not measured: crystalline Pr2Nd4Sn3N2 at its relaxed geometry at the PBE level of DFT.

**Calculated total energy**: -0.2256 hartree per atom
**DOS(E_F)**: 1.80 states/eV per cell

The structure in extended XYZ format:
```
11
Lattice="-2.448 2.448 13.028 2.448 -2.448 13.028 2.448 2.448 -13.028" Properties=species:S:1:pos:R:3 pbc="T T T"
Pr 0.000 0.000 5.037
Pr 0.000 0.000 21.019
Nd 2.448 0.000 2.179
Nd 2.448 0.000 10.849
Nd 0.000 2.448 2.179
Nd 0.000 2.448 10.849
Sn 0.000 0.000 8.440
Sn 0.000 0.000 13.028
Sn 0.000 0.000 17.616
N 0.000 0.000 2.682
N 0.000 0.000 23.374
```

No. 14
Computed, not measured: crystalline BCl at its relaxed geometry at the PBE level of DFT.

**Calculated total energy**: -0.1151 hartree per atom
**DOS(E_F)**: 3.72 states/eV per cell

The structure in extended XYZ format:
```
8
Lattice="0.000 3.097 8.162 2.763 0.000 8.162 2.763 3.097 0.000" Properties=species:S:1:pos:R:3 pbc="T T T"
B 0.691 0.774 0.554
B 0.691 0.774 3.527
B 4.836 5.420 12.797
B 4.836 5.420 15.771
Cl 3.516 2.323 6.122
Cl 4.898 3.871 10.203
Cl 0.629 2.323 6.122
Cl 2.011 3.871 10.203
```

No. 15
Computed, not measured: crystalline Ge2PO at its relaxed geometry at the PBE level of DFT.

**Calculated total energy**: -0.1854 hartree per atom
**DOS(E_F)**: 2.86 states/eV per cell

The structure in extended XYZ format:
```
8
Lattice="-2.440 2.440 6.184 2.440 -2.440 6.184 2.440 2.440 -6.184" Properties=species:S:1:pos:R:3 pbc="T T T"
Ge 3.660 0.880 -1.546
Ge 0.880 1.220 1.546
Ge -1.220 1.559 4.638
Ge 1.559 1.220 7.730
P 2.440 0.000 3.092
P 0.000 0.000 6.184
O 0.000 0.000 0.000
O 0.000 2.440 3.092
```

No. 16
Computed, not measured: crystalline La2Pd5Au5 at its relaxed geometry at the PBE level of DFT.

**DOS(E_F)**: 6.18 states/eV per cell
**Calculated formation energy**: -0.596 eV/atom

The structure in extended XYZ format:
```
12
Lattice="4.542 0.000 0.000 0.000 5.553 0.000 0.000 0.000 9.618" Properties=species:S:1:pos:R:3 pbc="T T T"
La 0.000 0.000 0.000
La 0.000 2.777 4.809
Pd 2.271 0.000 4.809
Pd 2.271 1.381 2.415
Pd 2.271 1.381 7.203
Pd 2.271 4.172 2.415
Pd 2.271 4.172 7.203
Au 0.000 0.000 3.200
Au 0.000 0.000 6.418
Au 0.000 2.777 1.656
Au 0.000 2.777 7.962
Au 2.271 2.777 0.000
```

No. 17
Computed, not measured: crystalline LiHg2Rh at its relaxed geometry at the PBE level of DFT.

**DOS(E_F)**: 2.75 states/eV per cell
**Calculated formation energy**: 0.027 eV/atom

The structure in extended XYZ format:
```
4
Lattice="1.529 0.883 9.031 -1.529 0.883 9.031 0.000 -1.765 9.031" Properties=species:S:1:pos:R:3 pbc="T T T"
Li 0.000 0.000 0.000
Hg 0.000 0.000 6.769
Hg 0.000 0.000 20.323
Rh 0.000 0.000 13.546
```

No. 18
Computed, not measured: crystalline HgRu3C at its relaxed geometry at the PBE level of DFT.

**DOS(E_F)**: 7.41 states/eV per cell
**Calculated formation energy**: 3.643 eV/atom

The structure in extended XYZ format:
```
5
Lattice="5.022 0.000 0.000 0.000 5.022 0.000 0.000 0.000 5.022" Properties=species:S:1:pos:R:3 pbc="T T T"
Hg 0.000 0.000 0.000
Ru 0.000 0.000 2.511
Ru 0.000 2.511 0.000
Ru 2.511 0.000 0.000
C 2.511 2.511 2.511
```

No. 19
Computed, not measured: crystalline EuHO2 at its relaxed geometry at the PBE level of DFT.

**Calculated total energy**: -0.2919 hartree per atom
**DOS(E_F)**: 4.21 states/eV per cell

The structure in extended XYZ format:
```
4
Lattice="1.835 1.059 4.588 -1.835 1.059 4.588 0.000 -2.118 4.588" Properties=species:S:1:pos:R:3 pbc="T T T"
Eu 0.000 0.000 0.000
H 0.000 0.000 6.882
O 0.000 0.000 5.665
O 0.000 0.000 8.099
```

No. 20
Computed, not measured: crystalline Cs2YSnOs at its relaxed geometry at the PBE level of DFT.

**DOS(E_F)**: 11.41 states/eV per cell
**Calculated formation energy**: 1.734 eV/atom

The structure in extended XYZ format:
```
5
Lattice="7.564 0.000 0.000 0.000 7.564 0.000 0.000 0.000 5.650" Properties=species:S:1:pos:R:3 pbc="T T T"
Cs 0.000 3.782 0.000
Cs 3.782 0.000 0.000
Y 0.000 0.000 0.000
Sn 0.000 0.000 2.825
Os 3.782 3.782 2.825
```

No. 21
Computed, not measured: crystalline CaZrTeC2 at its relaxed geometry at the PBE level of DFT.

**Calculated total energy**: -0.2108 hartree per atom
**DOS(E_F)**: 3.90 states/eV per cell

The structure in extended XYZ format:
```
5
Lattice="4.387 0.000 0.000 0.000 4.387 0.000 0.000 0.000 5.904" Properties=species:S:1:pos:R:3 pbc="T T T"
Ca 0.000 0.000 0.000
Zr 2.193 2.193 2.952
Te 2.193 2.193 0.000
C 0.000 2.193 2.952
C 2.193 0.000 2.952
```

No. 22
Computed, not measured: crystalline SmSc2PaN4 at its relaxed geometry at the PBE level of DFT.

**Calculated total energy**: -0.3380 hartree per atom
**DOS(E_F)**: 3.11 states/eV per cell

The structure in extended XYZ format:
```
8
Lattice="5.821 0.000 0.000 0.000 3.390 0.000 -1.934 0.000 5.544" Properties=species:S:1:pos:R:3 pbc="T T T"
Sm 0.000 0.000 0.000
Sc 1.944 0.000 2.772
Sc 2.911 1.695 0.000
Pa -0.967 1.695 2.772
N 1.000 1.695 1.513
N 0.106 0.000 4.134
N 3.782 0.000 1.410
N 2.888 1.695 4.031
```

No. 23
Computed, not measured: crystalline CaCrPd at its relaxed geometry at the PBE level of DFT.

**DOS(E_F)**: 6.54 states/eV per cell
**Calculated formation energy**: 0.089 eV/atom

The structure in extended XYZ format:
```
6
Lattice="-1.631 2.661 6.669 1.631 -2.661 6.669 1.631 2.661 -6.669" Properties=species:S:1:pos:R:3 pbc="T T T"
Ca 0.000 0.000 2.585
Ca 0.000 0.000 10.754
Cr 1.631 0.924 0.000
Cr 0.000 1.737 6.669
Pd 1.631 0.000 5.262
Pd 0.000 2.661 1.407
```